Density functional theory data (PBE) for a relaxed structure of Pm5Pr2Ho3.

Values from the calculation:
Calculated volume: 719.8 Å³/cell
Calculated formation energy: 0.373 eV per atom
Total magnetic moment: 0.000 μB/f.u.
Distance to the lowest polymorph of the same formula: 188 meV/atom

Unit cell a=6.879 b=12.484 c=12.484 alpha=44.70 beta=74.01 gamma=74.01
Fractional coordinates of all 20 atoms:
Ho 0.880 0.872 0.368
Ho 0.250 0.000 0.000
Ho 0.380 0.368 0.872
Ho 0.120 0.128 0.632
Ho 0.620 0.632 0.128
Ho 0.750 0.000 0.000
Pm 0.250 0.500 0.500
Pm 0.001 0.249 0.249
Pm 0.999 0.751 0.751
Pm 0.374 0.718 0.534
Pm 0.501 0.249 0.249
Pm 0.126 0.466 0.282
Pm 0.874 0.534 0.718
Pm 0.750 0.500 0.500
Pm 0.499 0.751 0.751
Pm 0.626 0.282 0.466
Pr 0.878 0.223 0.021
Pr 0.622 0.979 0.777
Pr 0.378 0.021 0.223
Pr 0.122 0.777 0.979